A plane-wave DFT calculation with GGA-PBE was carried out for crystalline Nd2SmP3 at its relaxed geometry.

a b c (Å): 4.1473 4.1473 10.1428
angles (deg): 90.00 90.00 120.00
Space group P-3m1 (No. 164)
Unique sites:
Nd 0.3333 0.6667 0.3320 x2
Sm 0.0000 0.0000 0.0000 x1
P 0.0000 0.0000 0.5000 x1
P 0.3333 0.6667 0.8363 x2

Computed properties:
**Energy**: -6.629 eV/atom